1.
{"formula": "Ho2Tm3Hg3", "functional": "PBE", "state": "optimized geometry", "lattice": [[-2.5359, 1.6211, -2.1706], [1.9465, -2.5106, -4.1490], [-6.5461, -7.8406, 4.9639]], "species": ["Ho", "Ho", "Tm", "Tm", "Tm", "Hg", "Hg", "Hg"], "frac_coords": [[0.7322, 0.2322, 0.4644], [0.2678, 0.7678, 0.5356], [0.6212, 0.6212, 0.2424], [0.3788, 0.3788, 0.7576], [0.5000, 0.0000, 0.0000], [0.1178, 0.1178, 0.2356], [0.0000, 0.5000, 0.0000], [0.8822, 0.8822, 0.7644]], "delta_e_f_mev_per_atom": -353, "space_group": "Immm, No. 71"}



2.
{"formula": "CeCO2", "functional": "PBE", "state": "optimized geometry", "lattice": [[-0.7258, 1.7897, 2.5772], [-2.7696, -0.4863, 1.5700], [1.6122, -3.6657, 5.0119]], "species": ["C", "O", "O", "Ce"], "frac_coords": [[0.5000, 0.5000, 0.5000], [0.1130, 0.1130, 0.6609], [0.8870, 0.8870, 0.3391], [0.0000, 0.0000, 0.0000]], "formation_energy_uncorrected_mev_per_atom": 451, "space_group": "R-3m, No. 166"}



3.
{"formula": "La4Co", "functional": "PBE", "state": "optimized geometry", "lattice": [[-1.5509, 4.8712, 2.1136], [-4.0200, -2.5157, 2.8481], [3.4692, -0.7375, 4.2452]], "species": ["Co", "La", "La", "La", "La"], "frac_coords": [[0.5000, 0.5000, 0.5000], [0.0000, 0.0000, 0.0000], [0.5000, 0.0000, 0.5000], [0.0000, 0.5000, 0.5000], [0.5000, 0.5000, 0.0000]], "delta_e_f_mev_per_atom": 18, "space_group": "Pm-3m, No. 221"}



no.,total magnetic moment (μB/cell),Fermi-level density of states (states/eV per atom)
1,0.00,0.9513
2,0.00,0.2267
3,1.27,1.9730